No. 1
A relaxed NaBeVMo2 crystal, computed with PBE.

- Energy of formation: 1292 meV per atom

Lattice parameters (Å, degrees): 4.3408 4.3408 4.2271 90.00 90.00 90.00
With the nearest neighbours (Å) after each atom.
Space group P4/mmm (No. 123)
Symmetry-distinct sites (fractional):
Na: 0.0000 0.0000 0.0000 [1 per cell]  2 Be 2.11
Be: 0.0000 0.0000 0.5000 [1 per cell]  2 Na 2.11, 4 Mo 2.17
V: 0.5000 0.5000 0.0000 [1 per cell]  8 Mo 3.03, 4 Na 3.07
Mo: 0.0000 0.5000 0.5000 [2 per cell]  2 Be 2.17


No. 2
A relaxed BeNb2Mo crystal, computed with PBE.

- Energy of formation: 250 meV per atom

Lattice parameters (Å, degrees): 3.1579 3.1579 22.1311 90.00 90.00 120.00
With the nearest neighbours (Å) after each atom.
Space group R-3m (No. 166, hexagonal axes)
Symmetry-distinct sites (fractional):
Be: 0.0000 0.0000 0.0000 [3 per cell]  6 Nb 2.48
Nb: 0.0000 0.0000 0.2572 [6 per cell]  3 Be 2.48, 3 Mo 2.71
Mo: 0.0000 0.0000 0.5000 [3 per cell]  6 Nb 2.71


No. 3
A relaxed BeNb3Mo crystal, computed with PBE.

- Energy of formation: 1532 meV per atom

Lattice parameters (Å, degrees): 4.8045 4.8045 4.8045 90.00 90.00 90.00
With the nearest neighbours (Å) after each atom.
Space group Pm-3m (No. 221)
Symmetry-distinct sites (fractional):
Be: 0.0000 0.0000 0.0000 [1 per cell]  12 Nb 3.40
Nb: 0.0000 0.5000 0.5000 [3 per cell]  2 Mo 2.40
Mo: 0.5000 0.5000 0.5000 [1 per cell]  6 Nb 2.40